# TlPbAu2

A geometry-optimized TlPbAu2 structure (PBE-GGA, the Alexandria database).

extended XYZ file:
```
4
Lattice="3.6236 0.0000 0.0000 0.0000 3.5595 0.0000 -0.0870 0.0000 7.5139" Properties=species:S:1:pos:R:3 pbc="T T T"
Tl 0.0000 0.0000 0.0000
Pb -0.0435 0.0000 3.7569
Au 1.7800 1.7798 1.8995
Au 1.7566 1.7798 5.6143
```

space group: P2/m (10)
energy relative to the lowest polymorph listed for this composition: 25 kJ/mol of formula units
energy relative to the elements: 1 meV per atom
M_tot: 0.00 μB/f.u.